[1]
The following is a DFT calculation (PBE) of a relaxed structure of Pu3Ga5Ru.

Results
SG = P-62m, No. 189
formation enthalpy at 0 K = -3.5 eV per formula unit
total moment = 15.70 μB per cell

Cell: 6.7693 6.7693 4.4702 Å, 90.00 90.00 120.00°
Element x y z (fractional)
Pu1 0.0000 0.4151 0.0000
Pu2 0.4151 0.0000 0.0000
Pu3 0.5849 0.5849 0.0000
Ga1 0.0000 0.7667 0.5000
Ga2 0.2333 0.2333 0.5000
Ga3 0.3333 0.6667 0.5000
Ga4 0.6667 0.3333 0.5000
Ga5 0.7667 0.0000 0.5000
Ru1 0.0000 0.0000 0.0000


[2]
The following is a DFT calculation (PBE) of a relaxed structure of Cs2SnPbSe4.

Results
SG = Fddd, No. 70
final energy = -3.67 eV per atom
total moment = 0.00 μB per cell

Cell: 15.1463 13.5830 8.3441 Å, 83.74 63.06 33.20°
Element x y z (fractional)
Cs1 0.0577 0.0577 0.6923
Cs2 0.3077 0.3077 0.9423
Cs3 0.6923 0.6923 0.0577
Cs4 0.9423 0.9423 0.3077
Sn1 0.3750 0.3750 0.3750
Sn2 0.6250 0.6250 0.6250
Pb1 0.1250 0.1250 0.1250
Pb2 0.8750 0.8750 0.8750
Se1 0.0096 0.6305 0.5334
Se2 0.3264 0.5334 0.6305
Se3 0.3695 0.9904 0.6736
Se4 0.4666 0.6736 0.9904
Se5 0.5334 0.3264 0.0096
Se6 0.6305 0.0096 0.3264
Se7 0.6736 0.4666 0.3695
Se8 0.9904 0.3695 0.4666


[3]
The following is a DFT calculation (PBE) of a relaxed structure of Tb2SmTm2Sc2.

Results
SG = C2/m, No. 12
formation enthalpy at 0 K = 0.8 eV per formula unit
total moment = 0.00 μB per cell

Cell: 5.8762 5.8762 11.5013 Å, 107.69 107.69 33.78°
Element x y z (fractional)
Tb1 0.1718 0.1718 0.0874
Tb2 0.8282 0.8282 0.9126
Sm1 0.5000 0.5000 0.5000
Tm1 0.0477 0.0477 0.7702
Tm2 0.9523 0.9523 0.2298
Sc1 0.2736 0.2736 0.6352
Sc2 0.7264 0.7264 0.3648


[4]
The following is a DFT calculation (PBE) of a relaxed structure of HfSc2AgN.

Results
SG = P4/mmm, No. 123
final energy = -7.60 eV per atom
total moment = 0.00 μB per cell

Cell: 4.4298 4.4298 4.4219 Å, 90.00 90.00 90.00°
Element x y z (fractional)
Hf1 0.0000 0.0000 0.0000
Sc1 0.0000 0.5000 0.5000
Sc2 0.5000 0.0000 0.5000
Ag1 0.5000 0.5000 0.0000
N1 0.0000 0.0000 0.5000


[5]
The following is a DFT calculation (PBE) of a relaxed structure of LiNdAlZn2.

Results
SG = I-4m2, No. 119
formation enthalpy at 0 K = -1.5 eV per formula unit
total moment = 0.00 μB per cell

Cell: 6.1048 6.1048 6.1048 Å, 138.47 138.47 60.18°
Element x y z (fractional)
Li1 0.0000 0.0000 0.0000
Nd1 0.7500 0.2500 0.5000
Al1 0.5000 0.5000 0.0000
Zn1 0.1331 0.6331 0.5000
Zn2 0.3669 0.8669 0.5000


[6]
The following is a DFT calculation (PBE) of a relaxed structure of NdTmBeGa.

Results
SG = F-43m, No. 216
formation enthalpy at 0 K = -0.8 eV per formula unit
total moment = 0.00 μB per cell

Cell: 5.0040 5.0040 5.0040 Å, 60.00 60.00 60.00°
Element x y z (fractional)
Nd1 0.0000 0.0000 0.0000
Tm1 0.5000 0.5000 0.5000
Be1 0.7500 0.7500 0.7500
Ga1 0.2500 0.2500 0.2500


[7]
The following is a DFT calculation (PBE) of a relaxed structure of MoPt2W.

Results
SG = F-43m, No. 216
E above lowest polymorph = 332 meV per atom
formation enthalpy at 0 K = 0.1 eV per formula unit
total moment = 0.00 μB per cell

Cell: 4.4773 4.4773 4.4773 Å, 60.00 60.00 60.00°
Element x y z (fractional)
Mo1 0.0000 0.0000 0.0000
Pt1 0.5000 0.5000 0.5000
Pt2 0.7500 0.7500 0.7500
W1 0.2500 0.2500 0.2500


[8]
The following is a DFT calculation (PBE) of a relaxed structure of Sc2PaPd.

Results
SG = P4/mmm, No. 123
formation enthalpy at 0 K = -1.5 eV per formula unit
total moment = 0.42 μB per cell

Cell: 3.2589 3.2589 8.0339 Å, 90.00 90.00 90.00°
Element x y z (fractional)
Sc1 0.0000 0.0000 0.2080
Sc2 0.0000 0.0000 0.7920
Pa1 0.5000 0.5000 0.5000
Pd1 0.5000 0.5000 0.0000


Which value of total moment does entry 8 give?
0.42 μB per cell


Which formula does entry 4 have?
HfSc2AgN


total moment of number 4 (HfSc2AgN)?
0.00 μB per cell